[1]
Below is crystalline TiNb6W3 at its relaxed geometry, with properties calculated at the PBE-GGA level.

a b c (Å): 8.0108 4.6090 9.7646
angles (deg): 90.00 105.32 90.00
With the nearest neighbours (Å) after each atom.
Space group P2_1/m (No. 11)
Asymmetric unit:
Ti 0.0474 0.2500 0.4042 x2  8 Nb 2.82-2.89
Nb 0.0541 0.7500 0.9020 x2  4 W 2.79-2.84, 3 Nb 2.85-2.87, 1 Ti 2.88
Nb 0.1465 0.7500 0.2062 x2  8 Nb 2.81-2.89
Nb 0.1600 0.2500 0.7046 x2  4 W 2.77-2.80, 1 Nb 2.81, 3 Ti 2.83-2.88
Nb 0.2584 0.7500 0.5049 x2  4 W 2.78-2.79, 1 Nb 2.82, 3 Ti 2.82-2.87
Nb 0.3528 0.2500 0.2998 x2  5 W 2.81-2.82, 2 Nb 2.84, 1 Ti 2.89
Nb 0.4500 0.7500 0.0991 x2  7 W 2.81-2.84, 1 Nb 2.89
W 0.2502 0.2500 0.0015 x2  8 Nb 2.80-2.84
W 0.3491 0.7500 0.8002 x2  8 Nb 2.78-2.83
W 0.4490 0.2500 0.5995 x2  8 Nb 2.77-2.84

D(E_F) = 24.77 states/eV/cell
Energy of formation from the pure elements = -0.02 eV/atom
Total magnetic moment = 0.00 μB per formula unit



[2]
Below is crystalline Ti2Nb6W at its relaxed geometry, with properties calculated at the PBE-GGA level.

a b c (Å): 4.6514 5.4235 7.1467
angles (deg): 110.20 108.53 90.57
With the nearest neighbours (Å) after each atom.
Space group P-1 (No. 2)
Asymmetric unit:
Ti 0.1093 0.0413 0.2183 x2  1 W 2.76, 6 Nb 2.82-2.93, 1 Ti 2.83
Nb 0.2205 0.6182 0.4423 x2  6 Nb 2.79-2.92, 1 W 2.83, 1 Ti 2.93
Nb 0.3350 0.1709 0.6676 x2  5 Nb 2.79-2.83, 3 Ti 2.82-2.86
Nb 0.4475 0.7234 0.8968 x2  4 Nb 2.79-2.92, 2 W 2.81-2.84, 2 Ti 2.88-2.91
W 0.0000 0.5000 0.0000 x1  2 Ti 2.76, 6 Nb 2.81-2.84

D(E_F) = 13.48 states/eV/cell
Energy of formation from the pure elements = 0.00 eV/atom
Polymorph energy (0 for the lowest one) = 0.000 eV per atom
Total magnetic moment = 0.00 μB per formula unit



[3]
Below is crystalline TiNb2W3 at its relaxed geometry, with properties calculated at the PBE-GGA level.

a b c (Å): 3.2243 3.2243 9.6453
angles (deg): 90.00 90.00 90.00
With the nearest neighbours (Å) after each atom.
Space group P4/mmm (No. 123)
Asymmetric unit:
Ti 0.0000 0.0000 0.0000 x1  8 W 2.77
Nb 0.0000 0.0000 0.3305 x2  8 W 2.79-2.81
W 0.5000 0.5000 0.1637 x2  4 Ti 2.77, 4 Nb 2.79
W 0.5000 0.5000 0.5000 x1  8 Nb 2.81

D(E_F) = 6.69 states/eV/cell
Energy of formation from the pure elements = 0.00 eV/atom
Polymorph energy (0 for the lowest one) = 0.000 eV per atom
Total magnetic moment = 0.00 μB per formula unit



[4]
Below is crystalline TiNb5W2 at its relaxed geometry, with properties calculated at the PBE-GGA level.

a b c (Å): 4.6000 4.6000 13.2302
angles (deg): 90.00 90.00 90.00
With the nearest neighbours (Å) after each atom.
Space group I4/mmm (No. 139)
Asymmetric unit:
Ti 0.0000 0.0000 0.0000 x2  8 Nb 2.87
Nb 0.0000 0.0000 0.5000 x2  8 Nb 2.87
Nb 0.0000 0.5000 0.1292 x8  4 W 2.79-2.81, 2 Nb 2.87, 2 Ti 2.87
W 0.0000 0.0000 0.2483 x4  8 Nb 2.79-2.81

D(E_F) = 23.30 states/eV/cell
Energy of formation from the pure elements = -0.02 eV/atom
Total magnetic moment = 0.00 μB per formula unit



[5]
Below is crystalline Ti2Nb5W4 at its relaxed geometry, with properties calculated at the PBE-GGA level.

a b c (Å): 2.7714 7.2388 9.6652
angles (deg): 91.37 95.50 100.73
With the nearest neighbours (Å) after each atom.
Space group P-1 (No. 2)
Asymmetric unit:
Ti 0.1606 0.2157 0.1765 x2  4 W 2.75-3.01, 3 Nb 2.75-3.06, 2 Ti 2.77
Nb 0.0670 0.4065 0.7293 x2  5 Nb 2.77-2.89, 3 W 2.83-3.03, 1 Ti 3.06
Nb 0.1973 0.3120 0.4548 x2  2 W 2.74-2.82, 1 Ti 2.75, 5 Nb 2.77-2.98
Nb 0.5000 0.5000 0.0000 x1  4 Nb 2.77-2.78, 2 Ti 2.79, 2 W 2.93
W 0.3151 0.8692 0.0863 x2  4 W 2.68-2.77, 2 Ti 2.75-2.76, 2 Nb 2.83-2.93
W 0.3594 0.0433 0.6396 x2  4 W 2.74-2.96, 4 Nb 2.74-3.03, 2 Ti 2.90-3.01

D(E_F) = 13.14 states/eV/cell
Energy of formation from the pure elements = 0.07 eV/atom
Total magnetic moment = 0.00 μB per formula unit



[6]
Below is crystalline Ti2Nb8W at its relaxed geometry, with properties calculated at the PBE-GGA level.

a b c (Å): 12.8021 5.5446 6.0045
angles (deg): 90.00 105.88 90.00
With the nearest neighbours (Å) after each atom.
Space group C2/m (No. 12)
Asymmetric unit:
Ti 0.2393 0.0000 0.2792 x4  6 Nb 2.66-2.96
Nb 0.0787 0.2593 0.3822 x8  1 W 2.66, 5 Nb 2.67-2.93, 2 Ti 2.72-2.96
Nb 0.1055 0.5000 0.9386 x4  1 Ti 2.66, 3 Nb 2.81-2.93
Nb 0.1762 0.0000 0.7988 x4  3 Ti 2.77-3.06, 5 Nb 2.81-3.10, 1 W 2.83
W 0.0000 0.0000 0.0000 x2  6 Nb 2.66-2.83

D(E_F) = 25.50 states/eV/cell
Energy of formation from the pure elements = 0.33 eV/atom
Total magnetic moment = 0.00 μB per formula unit



Which formula does entry 1 have?
TiNb6W3